{
  "formula": "SmThIn",
  "functional": "PBE",
  "state": "optimized geometry",
  "dft_energy_ev_per_atom": -4.887,
  "polymorph_energy_ev_per_atom": 0.000,
  "lattice": [[0.000, 3.722, 3.722], [3.722, 0.000, 3.722], [3.722, 3.722, 0.000]],
  "species": ["Sm", "Th", "In"],
  "fractional_positions": [[0.250, 0.250, 0.250], [0.750, 0.750, 0.750], [0.000, 0.000, 0.000]]
}

{
  "formula": "Sm4TlIn",
  "functional": "PBE",
  "state": "optimized geometry",
  "dft_energy_ev_per_atom": -4.303,
  "lattice": [[5.497, 0.000, 0.000], [-2.749, 4.761, 0.000], [0.000, 0.000, 6.859]],
  "species": ["Tl", "In", "Sm", "Sm", "Sm", "Sm"],
  "fractional_positions": [[0.000, 0.000, 0.500], [0.333, 0.667, 0.000], [0.333, 0.667, 0.500], [0.667, 0.333, 0.246], [0.667, 0.333, 0.754], [0.000, 0.000, 0.000]]
}

{
  "formula": "SmTmIn4",
  "functional": "PBE",
  "state": "optimized geometry",
  "dft_energy_ev_per_atom": -3.789,
  "lattice": [[-0.729, -4.574, -0.407], [-0.258, -0.621, 7.438], [-4.546, 0.198, 5.922]],
  "species": ["In", "In", "In", "In", "Tm", "Sm"],
  "fractional_positions": [[0.500, 0.828, 0.828], [0.500, 0.178, 0.178], [0.500, 0.497, 0.497], [0.000, 0.997, 0.997], [0.000, 0.345, 0.345], [0.000, 0.655, 0.655]]
}

{
  "formula": "Sm5TmIn3",
  "functional": "PBE",
  "state": "optimized geometry",
  "dft_energy_ev_per_atom": -4.378,
  "lattice": [[8.204, -4.732, 0.000], [8.204, 4.732, 0.000], [0.000, 0.000, 6.815]],
  "species": ["Sm", "Sm", "Sm", "Sm", "Sm", "Sm", "Sm", "Sm", "Sm", "Sm", "Tm", "Tm", "In", "In", "In", "In", "In", "In"],
  "fractional_positions": [[0.333, 0.333, 0.500], [0.663, 0.337, 0.250], [0.000, 0.664, 0.250], [0.667, 0.667, 0.000], [0.337, 0.663, 0.750], [0.336, 0.000, 0.250], [0.667, 0.667, 0.500], [0.664, 0.000, 0.750], [0.333, 0.333, 0.000], [0.000, 0.336, 0.750], [0.000, 0.000, 0.000], [0.000, 0.000, 0.500], [0.673, 0.327, 0.750], [0.000, 0.327, 0.250], [0.327, 0.000, 0.750], [0.327, 0.673, 0.250], [0.673, 0.000, 0.250], [0.000, 0.673, 0.750]]
}

{
  "formula": "SmTm2In",
  "functional": "PBE",
  "state": "optimized geometry",
  "dft_energy_ev_per_atom": -4.361,
  "lattice": [[-3.103, 3.713, 0.015], [-3.568, -2.988, 1.328], [1.021, 0.834, 4.619]],
  "species": ["Sm", "Tm", "Tm", "In"],
  "fractional_positions": [[0.500, 0.500, 0.000], [0.000, 0.500, 0.500], [0.500, 0.000, 0.500], [0.000, 0.000, 0.000]]
}

{
  "formula": "SmTmIn2",
  "functional": "PBE",
  "state": "optimized geometry",
  "dft_energy_ev_per_atom": -4.126,
  "lattice": [[-2.629, -0.857, -2.557], [-0.357, -3.429, 1.516], [-5.355, 2.605, 4.633]],
  "species": ["In", "In", "Tm", "Sm"],
  "fractional_positions": [[0.500, 0.500, 0.238], [0.500, 0.500, 0.762], [0.000, 0.000, 0.000], [0.000, 0.000, 0.500]]
}

{
  "formula": "Sm2TmIn",
  "functional": "PBE",
  "state": "optimized geometry",
  "dft_energy_ev_per_atom": -4.429,
  "lattice": [[4.860, 0.000, 0.000], [0.000, 4.860, 0.000], [0.000, 0.000, 4.910]],
  "species": ["Tm", "Sm", "Sm", "In"],
  "fractional_positions": [[0.500, 0.500, 0.000], [0.500, 0.000, 0.500], [0.000, 0.500, 0.500], [0.000, 0.000, 0.000]]
}

{
  "formula": "SmTmIn2",
  "functional": "PBE",
  "state": "optimized geometry",
  "dft_energy_ev_per_atom": -4.079,
  "lattice": [[4.322, 0.000, 0.000], [0.000, 2.291, 5.747], [0.000, -2.291, 5.747]],
  "species": ["In", "In", "Tm", "Sm"],
  "fractional_positions": [[0.000, 0.087, 0.087], [0.500, 0.915, 0.915], [0.500, 0.637, 0.637], [0.000, 0.361, 0.361]]
}

{
  "formula": "SmInW",
  "functional": "PBE",
  "state": "optimized geometry",
  "dft_energy_ev_per_atom": -5.399,
  "polymorph_energy_ev_per_atom": 0.465,
  "lattice": [[0.000, 3.518, 3.518], [3.518, 0.000, 3.518], [3.518, 3.518, 0.000]],
  "species": ["Sm", "W", "In"],
  "fractional_positions": [[0.000, 0.000, 0.000], [0.750, 0.750, 0.750], [0.250, 0.250, 0.250]]
}

{
  "formula": "SmInW",
  "functional": "PBE",
  "state": "optimized geometry",
  "dft_energy_ev_per_atom": -5.864,
  "polymorph_energy_ev_per_atom": 0.000,
  "lattice": [[-3.360, -3.479, 0.390], [-2.192, -0.789, 4.256], [-4.668, 1.190, 0.582]],
  "species": ["Sm", "W", "In"],
  "fractional_positions": [[0.750, 0.750, 0.750], [0.000, 0.000, 0.000], [0.250, 0.250, 0.250]]
}

{
  "formula": "SmYIn5",
  "functional": "PBE",
  "state": "optimized geometry",
  "dft_energy_ev_per_atom": -3.900,
  "lattice": [[-2.290, 3.592, 1.683], [-3.914, -1.730, -1.633], [-1.282, -4.481, 7.820]],
  "species": ["Y", "Sm", "In", "In", "In", "In", "In"],
  "fractional_positions": [[0.000, 0.000, 0.000], [0.000, 0.000, 0.500], [0.500, 0.000, 0.743], [0.000, 0.500, 0.743], [0.500, 0.500, 0.000], [0.000, 0.500, 0.257], [0.500, 0.000, 0.257]]
}

{
  "formula": "SmYIn2",
  "functional": "PBE",
  "state": "optimized geometry",
  "dft_energy_ev_per_atom": -4.622,
  "lattice": [[-1.765, -0.541, 3.926], [2.936, -5.479, 0.565], [5.488, -2.011, 2.190]],
  "species": ["Sm", "In", "In", "Y"],
  "fractional_positions": [[0.000, 0.360, 0.360], [0.500, 0.915, 0.915], [0.000, 0.086, 0.086], [0.500, 0.639, 0.639]]
}

{
  "formula": "SmZnIn",
  "functional": "PBE",
  "state": "optimized geometry",
  "dft_energy_ev_per_atom": -3.161,
  "lattice": [[-4.730, -1.235, -1.697], [4.182, -1.709, -2.524], [0.059, -5.167, 3.595]],
  "species": ["Sm", "Sm", "In", "In", "Zn", "Zn"],
  "fractional_positions": [[0.333, 0.667, 0.750], [0.667, 0.333, 0.250], [0.667, 0.333, 0.750], [0.333, 0.667, 0.250], [0.000, 0.000, 0.500], [0.000, 0.000, 0.000]]
}

{
  "formula": "Sm2ZnIn2",
  "functional": "PBE",
  "state": "optimized geometry",
  "dft_energy_ev_per_atom": -3.390,
  "lattice": [[-2.681, -1.856, 5.454], [0.571, -0.918, -6.262], [9.517, -7.827, 2.015]],
  "species": ["Sm", "Sm", "Sm", "Sm", "In", "In", "In", "In", "Zn", "Zn"],
  "fractional_positions": [[0.204, 0.796, 0.115], [0.796, 0.204, 0.615], [0.204, 0.796, 0.385], [0.796, 0.204, 0.885], [0.068, 0.932, 0.892], [0.068, 0.932, 0.608], [0.932, 0.068, 0.108], [0.932, 0.068, 0.392], [0.546, 0.454, 0.250], [0.454, 0.546, 0.750]]
}

{
  "formula": "SmZnIn",
  "functional": "PBE",
  "state": "optimized geometry",
  "dft_energy_ev_per_atom": -3.326,
  "lattice": [[3.027, -2.766, 2.372], [-0.886, -4.631, 0.460], [2.646, -3.161, -2.334]],
  "species": ["In", "Zn", "Sm"],
  "fractional_positions": [[0.250, 0.250, 0.250], [0.000, 0.000, 0.000], [0.750, 0.750, 0.750]]
}

{
  "formula": "SmZnIn",
  "functional": "PBE",
  "state": "optimized geometry",
  "dft_energy_ev_per_atom": -3.389,
  "lattice": [[-2.308, 3.755, 1.659], [1.317, -3.440, 2.934], [6.496, 3.480, 1.163]],
  "species": ["Sm", "Sm", "In", "In", "Zn", "Zn"],
  "fractional_positions": [[0.000, 0.000, 0.742], [0.000, 0.000, 0.242], [0.667, 0.333, 0.967], [0.333, 0.667, 0.467], [0.333, 0.667, 0.041], [0.667, 0.333, 0.541]]
}

{
  "formula": "SmZnIn",
  "functional": "PBE",
  "state": "optimized geometry",
  "dft_energy_ev_per_atom": -2.815,
  "lattice": [[0.000, 3.522, 3.522], [3.522, 0.000, 3.522], [3.522, 3.522, 0.000]],
  "species": ["In", "Sm", "Zn"],
  "fractional_positions": [[0.250, 0.250, 0.250], [0.000, 0.000, 0.000], [0.750, 0.750, 0.750]]
}

{
  "formula": "SmZnIn",
  "functional": "PBE",
  "state": "optimized geometry",
  "dft_energy_ev_per_atom": -3.355,
  "lattice": [[4.705, 0.000, 0.000], [-2.352, 4.075, 0.000], [0.000, 0.000, 7.466]],
  "species": ["In", "In", "Sm", "Sm", "Zn", "Zn"],
  "fractional_positions": [[0.667, 0.333, 0.750], [0.333, 0.667, 0.250], [0.000, 0.000, 0.000], [0.000, 0.000, 0.500], [0.667, 0.333, 0.250], [0.333, 0.667, 0.750]]
}

{
  "formula": "SmZnIn",
  "functional": "PBE",
  "state": "optimized geometry",
  "dft_energy_ev_per_atom": -3.360,
  "lattice": [[-5.268, 0.409, -5.303], [-1.938, -3.994, 1.618], [-4.680, 4.288, 4.980]],
  "species": ["Sm", "Sm", "Sm", "Sm", "In", "In", "In", "In", "Zn", "Zn", "Zn", "Zn"],
  "fractional_positions": [[0.004, 0.750, 0.277], [0.504, 0.750, 0.223], [0.996, 0.250, 0.723], [0.496, 0.250, 0.777], [0.785, 0.250, 0.087], [0.285, 0.250, 0.413], [0.215, 0.750, 0.913], [0.715, 0.750, 0.587], [0.800, 0.750, 0.916], [0.200, 0.250, 0.084], [0.300, 0.750, 0.584], [0.700, 0.250, 0.416]]
}

{
  "formula": "SmZrIn",
  "functional": "PBE",
  "state": "optimized geometry",
  "dft_energy_ev_per_atom": -5.164,
  "polymorph_energy_ev_per_atom": 0.000,
  "lattice": [[-1.179, -4.849, 0.627], [-4.509, -1.699, -1.442], [-0.385, -3.031, -3.995]],
  "species": ["Sm", "In", "Zr"],
  "fractional_positions": [[0.250, 0.250, 0.250], [0.000, 0.000, 0.000], [0.750, 0.750, 0.750]]
}

{
  "formula": "SmZrIn",
  "functional": "PBE",
  "state": "optimized geometry",
  "dft_energy_ev_per_atom": -4.633,
  "polymorph_energy_ev_per_atom": 0.532,
  "lattice": [[0.000, 3.604, 3.604], [3.604, 0.000, 3.604], [3.604, 3.604, 0.000]],
  "species": ["Sm", "Zr", "In"],
  "fractional_positions": [[0.000, 0.000, 0.000], [0.750, 0.750, 0.750], [0.250, 0.250, 0.250]]
}

{
  "formula": "Sm2ZrIn",
  "functional": "PBE",
  "state": "optimized geometry",
  "dft_energy_ev_per_atom": -5.352,
  "lattice": [[-1.537, -3.424, -2.877], [4.467, -1.321, -0.814], [-0.217, -3.022, 3.713]],
  "species": ["In", "Sm", "Sm", "Zr"],
  "fractional_positions": [[0.000, 0.000, 0.000], [0.500, 0.000, 0.500], [0.000, 0.500, 0.500], [0.500, 0.500, 0.000]]
}

{
  "formula": "SrZn2InSn",
  "functional": "PBE",
  "state": "optimized geometry",
  "dft_energy_ev_per_atom": -2.496,
  "lattice": [[-2.689, 1.273, 6.107], [-6.560, -0.982, 1.468], [5.282, -3.166, -2.868]],
  "species": ["Sn", "Zn", "Zn", "In", "Sr"],
  "fractional_positions": [[0.619, 0.619, 0.000], [0.751, 0.251, 0.500], [0.251, 0.751, 0.500], [0.379, 0.379, 0.000], [0.000, 0.000, 0.000]]
}

{
  "formula": "Ta3InSn5",
  "functional": "PBE",
  "state": "optimized geometry",
  "dft_energy_ev_per_atom": -6.347,
  "lattice": [[-1.625, 1.114, 5.448], [-1.148, -5.161, -2.368], [6.633, -2.630, 2.516]],
  "species": ["Ta", "Ta", "Ta", "Sn", "Sn", "Sn", "Sn", "Sn", "In"],
  "fractional_positions": [[0.500, 0.000, 0.500], [0.000, 0.500, 0.500], [0.500, 0.500, 0.500], [0.333, 0.667, 0.189], [0.667, 0.333, 0.189], [0.333, 0.667, 0.811], [0.667, 0.333, 0.811], [0.000, 0.000, 0.500], [0.000, 0.000, 0.000]]
}

{
  "formula": "TbInSnTe3",
  "functional": "PBE",
  "state": "optimized geometry",
  "dft_energy_ev_per_atom": -4.085,
  "polymorph_energy_ev_per_atom": 0.000,
  "lattice": [[2.175, -7.701, 0.000], [2.175, 7.701, 0.000], [0.000, 0.000, 12.365]],
  "species": ["Te", "Te", "Te", "Te", "Te", "Te", "Tb", "Tb", "In", "In", "Sn", "Sn"],
  "fractional_positions": [[0.359, 0.641, 0.002], [0.641, 0.359, 0.502], [0.010, 0.990, 0.750], [0.359, 0.641, 0.498], [0.990, 0.010, 0.250], [0.641, 0.359, 0.998], [0.000, 0.000, 0.500], [0.000, 0.000, 0.000], [0.303, 0.697, 0.250], [0.697, 0.303, 0.750], [0.370, 0.630, 0.750], [0.630, 0.370, 0.250]]
}

{
  "formula": "TbInSnTe3",
  "functional": "PBE",
  "state": "optimized geometry",
  "dft_energy_ev_per_atom": -3.998,
  "polymorph_energy_ev_per_atom": 0.087,
  "lattice": [[2.206, -7.509, 0.000], [2.206, 7.509, 0.000], [0.000, 0.000, 11.068]],
  "species": ["Te", "Te", "Te", "Te", "Te", "Te", "Tb", "Tb", "In", "In", "Sn", "Sn"],
  "fractional_positions": [[0.851, 0.149, 0.969], [0.392, 0.608, 0.250], [0.608, 0.392, 0.750], [0.149, 0.851, 0.031], [0.851, 0.149, 0.531], [0.149, 0.851, 0.469], [0.500, 0.500, 0.000], [0.500, 0.500, 0.500], [0.035, 0.965, 0.250], [0.965, 0.035, 0.750], [0.261, 0.739, 0.750], [0.739, 0.261, 0.250]]
}

{
  "formula": "InTcSn",
  "functional": "PBE",
  "state": "optimized geometry",
  "dft_energy_ev_per_atom": -5.391,
  "polymorph_energy_ev_per_atom": 0.000,
  "lattice": [[0.000, 3.214, 3.214], [3.214, 0.000, 3.214], [3.214, 3.214, 0.000]],
  "species": ["Tc", "In", "Sn"],
  "fractional_positions": [[0.250, 0.250, 0.250], [0.500, 0.500, 0.500], [0.000, 0.000, 0.000]]
}